AgPbW2, relaxed, DFT PBE-GGA; relative energy among the computed polymorphs = 216 kJ/mol of formula units; E_form = 1.150 eV per atom; N(E_F) = 0.730 states/eV/atom
1.0
2.854 0.000 0.000
0.000 2.854 0.000
0.000 0.000 9.209
Ag Pb W
1 1 2
direct
0.000 0.000 0.000 Ag
0.000 0.000 0.500 Pb
0.500 0.500 0.233 W
0.500 0.500 0.767 W

AgPb2W, relaxed, DFT PBE-GGA; relative energy among the computed polymorphs = 214 kJ/mol of formula units; E_form = 1.172 eV per atom; N(E_F) = 0.916 states/eV/atom
1.0
7.874 0.000 0.000
0.000 7.874 0.000
0.000 0.000 6.287
Ag Pb W
4 8 4
direct
0.000 0.000 0.000 Ag
0.000 0.500 0.250 Ag
0.500 0.000 0.750 Ag
0.500 0.500 0.500 Ag
0.244 0.750 0.625 Pb
0.250 0.244 0.375 Pb
0.250 0.256 0.875 Pb
0.256 0.750 0.125 Pb
0.744 0.250 0.125 Pb
0.750 0.744 0.875 Pb
0.750 0.756 0.375 Pb
0.756 0.250 0.625 Pb
0.000 0.000 0.500 W
0.000 0.500 0.750 W
0.500 0.000 0.250 W
0.500 0.500 0.000 W

Ag2PbW, relaxed, DFT PBE-GGA; relative energy among the computed polymorphs = 40 kJ/mol of formula units; E_form = 0.708 eV per atom; N(E_F) = 0.486 states/eV/atom
1.0
5.675 0.000 0.000
0.000 9.513 0.000
-0.508 0.000 2.871
Ag Pb W
4 2 2
direct
0.250 0.250 0.000 Ag
0.250 0.750 0.000 Ag
0.750 0.250 0.000 Ag
0.750 0.750 0.000 Ag
0.000 0.000 0.500 Pb
0.500 0.500 0.500 Pb
0.000 0.500 0.500 W
0.500 0.000 0.500 W

AgPb2W, relaxed, DFT PBE-GGA; relative energy among the computed polymorphs = 93 kJ/mol of formula units; E_form = 0.857 eV per atom; N(E_F) = 0.726 states/eV/atom
1.0
7.445 0.000 0.000
0.000 7.616 0.000
0.000 0.000 3.093
Ag Pb W
2 4 2
direct
0.000 0.000 0.000 Ag
0.500 0.500 0.000 Ag
0.250 0.250 0.500 Pb
0.250 0.750 0.500 Pb
0.750 0.250 0.500 Pb
0.750 0.750 0.500 Pb
0.000 0.500 0.000 W
0.500 0.000 0.000 W

AgPbW, relaxed, DFT PBE-GGA; relative energy among the computed polymorphs = 5 kJ/mol of formula units; E_form = 0.827 eV per atom; N(E_F) = 0.738 states/eV/atom
1.0
2.943 0.000 0.000
0.000 2.943 0.000
0.000 0.000 14.752
Ag Pb W
2 2 2
direct
0.000 0.000 0.000 Ag
0.500 0.500 0.500 Ag
0.000 0.000 0.703 Pb
0.500 0.500 0.203 Pb
0.000 0.000 0.366 W
0.500 0.500 0.866 W

AgPbW2, relaxed, DFT PBE-GGA; relative energy among the computed polymorphs = 13 kJ/mol of formula units; E_form = 0.625 eV per atom; N(E_F) = 1.013 states/eV/atom
1.0
3.242 0.000 0.000
0.000 3.242 0.000
0.000 0.000 7.679
Ag Pb W
1 1 2
direct
0.000 0.000 0.000 Ag
0.500 0.500 0.295 Pb
0.000 0.000 0.586 W
0.500 0.500 0.752 W

Ag2PbW, relaxed, DFT PBE-GGA; relative energy among the computed polymorphs = 114 kJ/mol of formula units; E_form = 0.900 eV per atom; N(E_F) = 0.477 states/eV/atom
1.0
4.811 0.000 0.000
0.000 4.811 0.000
0.000 0.000 6.783
Ag Pb W
4 2 2
direct
0.000 0.000 0.000 Ag
0.000 0.500 0.250 Ag
0.500 0.000 0.750 Ag
0.500 0.500 0.500 Ag
0.000 0.000 0.500 Pb
0.500 0.500 0.000 Pb
0.000 0.500 0.750 W
0.500 0.000 0.250 W

Y2Ag2Pb, relaxed, DFT PBE-GGA; E_form = -0.036 eV per atom; N(E_F) = 0.824 states/eV/atom
1.0
5.072 0.000 0.000
0.000 5.072 0.000
0.000 0.000 11.010
Y Ag Pb
4 4 2
direct
0.000 0.500 0.250 Y
0.000 0.500 0.750 Y
0.500 0.000 0.250 Y
0.500 0.000 0.750 Y
0.000 0.000 0.117 Ag
0.000 0.000 0.883 Ag
0.500 0.500 0.383 Ag
0.500 0.500 0.617 Ag
0.000 0.000 0.500 Pb
0.500 0.500 0.000 Pb

YAgPb, relaxed, DFT PBE-GGA; E_form = -0.281 eV per atom; N(E_F) = 0.517 states/eV/atom
1.0
10.273 0.000 0.000
0.000 4.820 0.000
-1.649 0.000 6.210
Y Ag Pb
4 4 4
direct
0.000 0.000 0.000 Y
0.175 0.500 0.438 Y
0.500 0.500 0.000 Y
0.675 0.000 0.438 Y
0.345 0.000 0.200 Ag
0.489 0.500 0.472 Ag
0.845 0.500 0.200 Ag
0.989 0.000 0.472 Ag
0.188 0.500 0.951 Pb
0.360 0.000 0.673 Pb
0.688 0.000 0.951 Pb
0.860 0.500 0.673 Pb

Y3Ag4Pb2, relaxed, DFT PBE-GGA; E_form = -0.341 eV per atom; N(E_F) = 0.495 states/eV/atom
1.0
5.538 -2.385 0.000
5.538 2.385 0.000
-4.209 0.000 8.273
Y Ag Pb
3 4 2
direct
0.000 0.000 0.000 Y
0.341 0.341 0.321 Y
0.659 0.659 0.679 Y
0.083 0.083 0.426 Ag
0.291 0.291 0.965 Ag
0.709 0.709 0.035 Ag
0.917 0.917 0.574 Ag
0.385 0.385 0.724 Pb
0.615 0.615 0.276 Pb

YAgPb, relaxed, DFT PBE-GGA; E_form = -0.319 eV per atom; N(E_F) = 0.719 states/eV/atom
1.0
4.598 0.000 0.000
2.293 5.723 0.000
2.287 1.143 5.812
Y Ag Pb
2 2 2
direct
0.045 0.201 0.210 Y
0.955 0.799 0.790 Y
0.355 0.208 0.583 Ag
0.645 0.792 0.417 Ag
0.329 0.643 0.197 Pb
0.671 0.357 0.803 Pb

YAg2Pb, relaxed, DFT PBE-GGA; E_form = -0.218 eV per atom; N(E_F) = 0.449 states/eV/atom
1.0
5.055 0.000 0.000
0.000 5.055 0.000
0.000 0.000 7.183
Y Ag Pb
2 4 2
direct
0.000 0.000 0.000 Y
0.500 0.500 0.500 Y
0.000 0.000 0.500 Ag
0.000 0.500 0.250 Ag
0.500 0.000 0.750 Ag
0.500 0.500 0.000 Ag
0.000 0.500 0.750 Pb
0.500 0.000 0.250 Pb

YAgPb, relaxed, DFT PBE-GGA; E_form = -0.288 eV per atom; N(E_F) = 0.717 states/eV/atom
1.0
3.496 0.000 0.000
0.015 5.723 0.000
0.020 2.842 7.726
Y Ag Pb
2 2 2
direct
0.001 0.353 0.298 Y
0.999 0.647 0.702 Y
0.499 0.743 0.000 Ag
0.501 0.257 0.000 Ag
0.499 0.163 0.669 Pb
0.501 0.837 0.331 Pb

YAg2Pb, relaxed, DFT PBE-GGA; E_form = -0.221 eV per atom; N(E_F) = 0.652 states/eV/atom
1.0
4.527 0.000 0.000
0.000 4.527 0.000
0.000 0.000 4.554
Y Ag Pb
1 2 1
direct
0.000 0.000 0.000 Y
0.000 0.500 0.500 Ag
0.500 0.000 0.500 Ag
0.500 0.500 0.000 Pb

YAg2Pb, relaxed, DFT PBE-GGA; E_form = -0.139 eV per atom; N(E_F) = 0.426 states/eV/atom
1.0
3.706 0.000 0.000
0.000 4.771 0.000
-1.014 0.000 5.490
Y Ag Pb
1 2 1
direct
0.000 0.000 0.000 Y
0.553 0.500 0.176 Ag
0.603 0.000 0.456 Ag
0.223 0.500 0.639 Pb

Y4Ag3Pb, relaxed, DFT PBE-GGA; E_form = -0.376 eV per atom; N(E_F) = 0.725 states/eV/atom
1.0
5.207 0.000 0.000
0.000 5.207 0.000
0.000 0.000 14.932
Y Ag Pb
8 6 2
direct
0.000 0.500 0.130 Y
0.000 0.500 0.370 Y
0.000 0.500 0.630 Y
0.000 0.500 0.870 Y
0.500 0.000 0.130 Y
0.500 0.000 0.370 Y
0.500 0.000 0.630 Y
0.500 0.000 0.870 Y
0.000 0.000 0.000 Ag
0.000 0.000 0.246 Ag
0.000 0.000 0.754 Ag
0.500 0.500 0.254 Ag
0.500 0.500 0.500 Ag
0.500 0.500 0.746 Ag
0.000 0.000 0.500 Pb
0.500 0.500 0.000 Pb

YAg2Pb, relaxed, DFT PBE-GGA; E_form = -0.173 eV per atom; N(E_F) = 0.510 states/eV/atom
1.0
3.312 0.000 0.000
0.000 4.915 0.000
0.000 0.000 5.933
Y Ag Pb
1 2 1
direct
0.000 0.000 0.000 Y
0.500 0.500 0.232 Ag
0.500 0.500 0.768 Ag
0.500 0.000 0.500 Pb

YAgPb, relaxed, DFT PBE-GGA; E_form = -0.308 eV per atom; N(E_F) = 0.170 states/eV/atom
1.0
5.035 0.000 0.000
2.507 4.398 0.000
0.018 0.071 6.790
Y Ag Pb
2 2 2
direct
0.000 0.000 0.000 Y
0.333 0.334 0.623 Y
0.333 0.334 0.152 Ag
0.666 0.667 0.291 Ag
0.667 0.666 0.839 Pb
0.999 0.001 0.457 Pb

YAg2Pb, relaxed, DFT PBE-GGA; E_form = -0.032 eV per atom; N(E_F) = 0.560 states/eV/atom
1.0
6.282 0.000 0.000
0.000 10.564 0.000
-1.446 0.000 2.895
Y Ag Pb
2 4 2
direct
0.000 0.000 0.000 Y
0.500 0.500 0.000 Y
0.250 0.250 0.500 Ag
0.250 0.750 0.500 Ag
0.750 0.250 0.500 Ag
0.750 0.750 0.500 Ag
0.000 0.500 0.000 Pb
0.500 0.000 0.000 Pb

YAgPb, relaxed, DFT PBE-GGA; E_form = -0.080 eV per atom; N(E_F) = 0.363 states/eV/atom
1.0
3.739 0.000 0.000
-1.870 3.238 0.000
0.000 0.000 6.838
Y Ag Pb
1 1 1
direct
0.000 0.000 0.000 Y
0.667 0.333 0.303 Ag
0.333 0.667 0.618 Pb

YAg2Pb, relaxed, DFT PBE-GGA; E_form = -0.019 eV per atom; N(E_F) = 0.411 states/eV/atom
1.0
4.400 0.000 0.000
0.000 4.400 0.000
0.000 0.000 20.989
Y Ag Pb
4 8 4
direct
0.000 0.000 0.000 Y
0.000 0.500 0.250 Y
0.500 0.000 0.750 Y
0.500 0.500 0.500 Y
0.238 0.250 0.625 Ag
0.250 0.738 0.875 Ag
0.250 0.762 0.375 Ag
0.262 0.250 0.125 Ag
0.738 0.750 0.125 Ag
0.750 0.238 0.375 Ag
0.750 0.262 0.875 Ag
0.762 0.750 0.625 Ag
0.000 0.000 0.500 Pb
0.000 0.500 0.750 Pb
0.500 0.000 0.250 Pb
0.500 0.500 0.000 Pb

Y5Ag2Pb5, relaxed, DFT PBE-GGA; E_form = -0.423 eV per atom; N(E_F) = 0.559 states/eV/atom
1.0
8.310 -2.353 0.000
8.310 2.353 0.000
-6.699 0.000 8.341
Y Ag Pb
5 2 5
direct
0.000 0.000 0.000 Y
0.106 0.106 0.418 Y
0.186 0.186 0.826 Y
0.814 0.814 0.174 Y
0.894 0.894 0.582 Y
0.358 0.358 0.747 Ag
0.642 0.642 0.253 Ag
0.256 0.256 0.314 Pb
0.430 0.430 0.130 Pb
0.500 0.500 0.500 Pb
0.570 0.570 0.870 Pb
0.744 0.744 0.686 Pb

Y2Ag2Pb, relaxed, DFT PBE-GGA; E_form = -0.165 eV per atom; N(E_F) = 0.827 states/eV/atom
1.0
3.827 0.000 0.000
0.000 3.827 0.000
0.000 0.000 17.932
Y Ag Pb
4 4 2
direct
0.000 0.000 0.111 Y
0.000 0.000 0.889 Y
0.500 0.500 0.389 Y
0.500 0.500 0.611 Y
0.000 0.500 0.250 Ag
0.000 0.500 0.750 Ag
0.500 0.000 0.250 Ag
0.500 0.000 0.750 Ag
0.000 0.000 0.500 Pb
0.500 0.500 0.000 Pb

YAgPb, relaxed, DFT PBE-GGA; E_form = -0.233 eV per atom; N(E_F) = 0.715 states/eV/atom
1.0
3.600 0.000 0.000
0.000 3.600 0.000
0.000 0.000 11.871
Y Ag Pb
2 2 2
direct
0.000 0.000 0.000 Y
0.500 0.500 0.500 Y
0.000 0.000 0.351 Ag
0.500 0.500 0.851 Ag
0.000 0.000 0.693 Pb
0.500 0.500 0.193 Pb

YAgPb, relaxed, DFT PBE-GGA; E_form = -0.349 eV per atom; N(E_F) = 0.549 states/eV/atom
1.0
4.877 0.000 0.000
0.000 7.288 0.000
0.000 0.000 8.469
Y Ag Pb
4 4 4
direct
0.000 0.000 0.000 Y
0.000 0.500 0.017 Y
0.500 0.000 0.517 Y
0.500 0.500 0.500 Y
0.000 0.204 0.340 Ag
0.000 0.796 0.340 Ag
0.500 0.296 0.840 Ag
0.500 0.704 0.840 Ag
0.000 0.250 0.674 Pb
0.000 0.750 0.674 Pb
0.500 0.250 0.174 Pb
0.500 0.750 0.174 Pb

YAgPb, relaxed, DFT PBE-GGA; E_form = -0.305 eV per atom; N(E_F) = 0.685 states/eV/atom
1.0
4.492 0.000 0.000
0.000 4.568 0.000
-2.228 0.000 7.374
Y Ag Pb
2 2 2
direct
0.154 0.000 0.306 Y
0.846 0.000 0.694 Y
0.000 0.500 0.000 Ag
0.500 0.000 0.000 Ag
0.338 0.500 0.678 Pb
0.662 0.500 0.322 Pb

YAgPb, relaxed, DFT PBE-GGA; E_form = -0.184 eV per atom; N(E_F) = 0.710 states/eV/atom
1.0
3.628 0.000 0.000
0.000 4.587 0.000
0.000 0.000 9.310
Y Ag Pb
2 2 2
direct
0.000 0.000 0.000 Y
0.500 0.500 0.500 Y
0.000 0.000 0.661 Ag
0.500 0.500 0.161 Ag
0.000 0.000 0.334 Pb
0.500 0.500 0.834 Pb

YAgPb, relaxed, DFT PBE-GGA; E_form = -0.081 eV per atom; N(E_F) = 1.026 states/eV/atom
1.0
4.648 0.000 0.000
0.000 4.648 0.000
0.000 0.000 7.495
Y Ag Pb
2 2 2
direct
0.250 0.750 0.000 Y
0.750 0.250 0.000 Y
0.250 0.250 0.277 Ag
0.750 0.750 0.723 Ag
0.250 0.250 0.663 Pb
0.750 0.750 0.337 Pb